The following is a GGA-PBE calculation of a relaxed Sb3Rh crystal, from Alexandria.

Cell lengths 3.2115, 3.2115, 9.1575 Å; angles 90.00, 90.00, 90.00 degrees
Closest atoms and distances in Å follow each position.
Positions (direct):
Sb1 0.5000 0.5000 0.1856  4 Rh 2.84
Sb2 0.0000 0.0000 0.5000  4 Sb 3.21
Sb3 0.5000 0.5000 0.8144  4 Rh 2.84
Rh1 0.0000 0.0000 0.0000  8 Sb 2.84

Results
ΔE_f (raw)   -9 kJ/mol of atoms
Volume   23.61 A^3/atom
Excess energy over the best structure of this formula in the dataset   0.310 eV per atom
M_tot   0.0000 μB per atom